[1]
Below is an optimized crystal structure of Er2ScPb9, with properties calculated at the PBE level.

Calculated values
M_tot = 0.0 μB per cell

Lattice parameters (Å, degrees): 4.8616 4.8616 14.4729 90.00 90.00 90.00
Fractional coordinates of all 12 atoms:
Pb 0.5000 0.5000 0.3315
Pb 0.5000 0.0000 0.5000
Pb 0.5000 0.0000 0.8373
Pb 0.5000 0.5000 0.6685
Pb 0.0000 0.5000 0.8373
Pb 0.0000 0.5000 0.1627
Pb 0.5000 0.0000 0.1627
Pb 0.5000 0.5000 0.0000
Pb 0.0000 0.5000 0.5000
Er 0.0000 0.0000 0.3333
Er 0.0000 0.0000 0.6667
Sc 0.0000 0.0000 0.0000

=====

[2]
Below is an optimized crystal structure of Er3Sc2Pb4, with properties calculated at the PBE level.

Calculated values
M_tot = 0.0 μB per cell

Lattice parameters (Å, degrees): 4.9089 6.7466 8.2140 106.03 107.39 90.00
Fractional coordinates of all 9 atoms:
Pb 0.4884 0.7169 0.9768
Pb 0.7647 0.7253 0.5294
Pb 0.2353 0.2747 0.4706
Pb 0.5116 0.2831 0.0232
Sc 0.6693 0.0553 0.3387
Sc 0.3307 0.9447 0.6613
Er 0.0000 0.0000 0.0000
Er 0.1195 0.5979 0.2389
Er 0.8805 0.4021 0.7611

=====

[3]
Below is an optimized crystal structure of Er2ScPb2, with properties calculated at the PBE level.

Calculated values
M_tot = 0.0 μB per cell

Lattice parameters (Å, degrees): 4.9464 6.4217 9.0978 90.00 105.77 90.00
Fractional coordinates of all 10 atoms:
Pb 0.8132 0.9762 0.6265
Pb 0.1868 0.4762 0.3735
Pb 0.4223 0.4772 0.8446
Pb 0.5777 0.9772 0.1554
Er 0.8060 0.4761 0.6121
Er 0.9998 0.7272 0.9997
Er 0.1940 0.9761 0.3879
Er 0.0002 0.2272 0.0003
Sc 0.3984 0.9777 0.7968
Sc 0.6016 0.4777 0.2032

=====

[4]
Below is an optimized crystal structure of Er8ScPb2, with properties calculated at the PBE level.

Calculated values
M_tot = 0.0 μB per cell

Lattice parameters (Å, degrees): 5.6038 8.7083 8.7083 120.09 102.51 102.51
Fractional coordinates of all 11 atoms:
Er 0.8805 0.9020 0.6798
Er 0.3008 0.6029 0.6029
Er 0.8805 0.6798 0.9020
Er 0.5000 0.7892 0.2108
Er 0.5000 0.2108 0.7892
Er 0.1195 0.3202 0.0980
Er 0.6992 0.3971 0.3971
Er 0.1195 0.0980 0.3202
Pb 0.0000 0.6952 0.3048
Pb 0.0000 0.3048 0.6952
Sc 0.5000 0.0000 0.0000

=====

[5]
Below is an optimized crystal structure of Er5Sc2Pb5, with properties calculated at the PBE level.

Calculated values
M_tot = 0.0 μB per cell

Lattice parameters (Å, degrees): 4.7042 6.7403 12.8684 114.45 90.00 110.42
Fractional coordinates of all 12 atoms:
Er 0.6582 0.3163 0.0131
Er 0.3418 0.6837 0.9869
Er 0.6783 0.3567 0.2959
Er 0.5000 0.0000 0.5000
Er 0.3217 0.6433 0.7041
Pb 0.0000 0.0000 0.0000
Pb 0.6965 0.3929 0.7820
Pb 0.3035 0.6071 0.2180
Pb 0.8649 0.7297 0.5575
Pb 0.1351 0.2703 0.4425
Sc 0.9450 0.8901 0.2103
Sc 0.0550 0.1099 0.7897

=====

[6]
Below is an optimized crystal structure of Er2ScPb, with properties calculated at the PBE level.

Calculated values
M_tot = 1.2 μB per cell
Energy relative to the lowest polymorph listed for this composition = 23 meV per atom

Lattice parameters (Å, degrees): 4.7198 4.7509 4.7509 90.00 90.00 90.00
Each line ends with the local moment (μB).
Fractional coordinates of all 4 atoms:
Sc 0.5000 0.0000 0.0000  0.36
Er 0.0000 0.0000 0.5000  0.28
Er 0.0000 0.5000 0.0000  0.28
Pb 0.5000 0.5000 0.5000  -0.01

=====

In the order shown, the computed E_form values come out to -0.200; -0.383; -0.419; -0.056; -0.309; -0.248 eV/atom.